No. 1
# TiTl

A relaxed structure of TiTl (PBE, Alexandria via LeMat-Bulk).

Geometry as POSCAR:
```
TiTl
1.0
-6.254 4.853 9.609
-0.565 -2.803 1.048
6.220 0.218 3.938
Tl Ti
6 6
Cartesian
-3.463 3.914 8.602
2.491 0.195 6.291
-0.066 2.180 10.220
0.234 1.045 2.922
-0.352 2.524 6.562
5.603 -1.195 4.251
-3.368 1.555 6.767
-2.066 0.544 4.767
2.139 2.612 8.139
1.874 -1.326 1.889
-1.801 4.482 11.017
3.152 0.639 3.408
```

Computed properties:
D(E_F) = 10.0 states/eV per cell
E_tot = -59.28 eV per cell
space group = Imm2


No. 2
# CdIn2Rh

A relaxed structure of CdIn2Rh (PBE, Alexandria via LeMat-Bulk).

Geometry as POSCAR:
```
CdIn2Rh
1.0
-3.157 8.633 -1.370
-3.557 7.386 -4.377
-5.854 6.910 -2.086
Rh Cd In
1 1 2
Cartesian
-6.284 11.465 -3.916
0.000 0.000 0.000
-9.559 17.439 -5.957
-3.009 5.490 -1.875
```

Computed properties:
D(E_F) = 2.5 states/eV per cell
E_tot = -14.01 eV per cell
space group = R-3m


No. 3
# PuMg2Zn2Ga2

A relaxed structure of PuMg2Zn2Ga2 (PBE, Alexandria via LeMat-Bulk).

Geometry as POSCAR:
```
PuMg2Zn2Ga2
1.0
-2.284 -3.368 -1.733
2.097 -3.144 -2.299
1.058 -6.507 5.608
Mg Zn Ga Pu
2 2 2 1
Cartesian
0.262 -8.254 -1.240
0.608 -4.766 2.817
0.750 -7.728 2.741
0.121 -5.292 -1.165
0.680 -9.870 1.351
0.190 -3.149 0.225
0.000 0.000 0.000
```

Computed properties:
D(E_F) = 15.7 states/eV per cell
E_tot = -27.50 eV per cell
space group = R-3m


No. 4
# RuPbBr2

A relaxed structure of RuPbBr2 (PBE, Alexandria via LeMat-Bulk).

Geometry as POSCAR:
```
RuPbBr2
1.0
-3.914 1.718 2.920
-1.181 -2.413 4.425
0.969 2.295 4.538
Br Ru Pb
2 1 1
Cartesian
-1.031 0.400 2.971
0.000 0.000 0.000
-3.094 1.199 8.913
-2.063 0.799 5.942
```

Computed properties:
D(E_F) = 3.5 states/eV per cell
space group = F-43m
uncorrected formation energy = 2.56 eV per formula unit


No. 5
# HfTc2F

A relaxed structure of HfTc2F (PBE, Alexandria via LeMat-Bulk).

Geometry as POSCAR:
```
HfTc2F
1.0
-4.617 5.922 0.374
-5.486 -4.080 -3.128
-5.722 0.271 0.646
F Tc Hf
2 4 2
Cartesian
-8.130 -1.444 -1.930
-5.052 0.921 -1.377
-5.754 -1.335 -1.721
-12.755 2.095 -1.711
-8.457 0.614 -0.763
-4.685 2.852 -0.021
-7.695 3.557 -0.178
0.000 0.000 0.000
```

Computed properties:
D(E_F) = 9.1 states/eV per cell
space group = I-42d
uncorrected formation energy = -0.26 eV per formula unit


No. 6
# InAsPt

A relaxed structure of InAsPt (PBE, Alexandria via LeMat-Bulk).

Geometry as POSCAR:
```
InAsPt
1.0
-0.662 -4.230 -1.296
3.320 -2.293 -1.932
1.983 -3.351 2.203
In Pt As
1 1 1
Cartesian
2.320 -4.937 -0.513
3.480 -7.405 -0.769
0.000 0.000 0.000
```

Computed properties:
D(E_F) = 1.3 states/eV per cell
E_tot = -14.35 eV per cell
space group = F-43m